# InSnBi3 | Alexandria via LeMat-Bulk | meta-GGA SCAN | PBEsol geometry
data_InSnBi3
_space_group_name_H-M_alt 'P m -3 m'
_space_group_IT_number 221
_space_group_name_Hall '-P 4 2 3'
_cell_length_a 5.636
_cell_length_b 5.636
_cell_length_c 5.636
_cell_angle_alpha 90.00
_cell_angle_beta 90.00
_cell_angle_gamma 90.00
loop_
_atom_site_label
_atom_site_type_symbol
_atom_site_fract_x
_atom_site_fract_y
_atom_site_fract_z
_atom_site_occupancy
In1 In 0.000 0.000 0.000 1
Sn1 Sn 0.500 0.500 0.500 1
Bi1 Bi 0.000 0.000 0.500 1
# DOS at the Fermi energy in states/eV/f.u.: 4.3
# E_form in eV per atom: 0.71



# In2Sn2Bi | Alexandria via LeMat-Bulk | meta-GGA SCAN | PBEsol geometry
data_In2Sn2Bi
_space_group_name_H-M_alt 'P 4/m b m'
_space_group_IT_number 127
_space_group_name_Hall '-P 4 2ab'
_cell_length_a 8.782
_cell_length_b 8.782
_cell_length_c 3.516
_cell_angle_alpha 90.00
_cell_angle_beta 90.00
_cell_angle_gamma 90.00
loop_
_atom_site_label
_atom_site_type_symbol
_atom_site_fract_x
_atom_site_fract_y
_atom_site_fract_z
_atom_site_occupancy
In1 In 0.145 0.355 0.000 1
Sn1 Sn 0.153 0.653 0.500 1
Bi1 Bi 0.000 0.000 0.500 1
# DOS at the Fermi energy in states/eV/f.u.: 2.7
# E_form in eV per atom: 0.13



# SrIn2Bi2 | Alexandria via LeMat-Bulk | meta-GGA SCAN | PBEsol geometry
data_SrIn2Bi2
_space_group_name_H-M_alt 'I 4/m m m'
_space_group_IT_number 139
_space_group_name_Hall '-I 4 2'
_cell_length_a 4.483
_cell_length_b 4.483
_cell_length_c 16.007
_cell_angle_alpha 90.00
_cell_angle_beta 90.00
_cell_angle_gamma 90.00
loop_
_atom_site_label
_atom_site_type_symbol
_atom_site_fract_x
_atom_site_fract_y
_atom_site_fract_z
_atom_site_occupancy
Sr1 Sr 0.000 0.000 0.000 1
In1 In 0.000 0.500 0.250 1
Bi1 Bi 0.000 0.000 0.402 1
# DOS at the Fermi energy in states/eV/f.u.: 3.3
# E_form in eV per atom: -0.30



# Sr2InBi2 | Alexandria via LeMat-Bulk | meta-GGA SCAN | PBEsol geometry
data_Sr2InBi2
_space_group_name_H-M_alt 'P 4/m b m'
_space_group_IT_number 127
_space_group_name_Hall '-P 4 2ab'
_cell_length_a 8.406
_cell_length_b 8.406
_cell_length_c 4.774
_cell_angle_alpha 90.00
_cell_angle_beta 90.00
_cell_angle_gamma 90.00
loop_
_atom_site_label
_atom_site_type_symbol
_atom_site_fract_x
_atom_site_fract_y
_atom_site_fract_z
_atom_site_occupancy
Sr1 Sr 0.174 0.326 0.000 1
In1 In 0.000 0.000 0.500 1
Bi1 Bi 0.129 0.629 0.500 1
# DOS at the Fermi energy in states/eV/f.u.: 1.8
# E_form in eV per atom: -0.71



# Sr5In2Bi6 | Alexandria via LeMat-Bulk | meta-GGA SCAN | PBEsol geometry
data_Sr5In2Bi6
_space_group_name_H-M_alt 'P b a m'
_space_group_IT_number 55
_cell_length_a 7.763
_cell_length_b 24.440
_cell_length_c 4.740
_cell_angle_alpha 90.00
_cell_angle_beta 90.00
_cell_angle_gamma 90.00
loop_
_space_group_symop_operation_xyz
'x,y,z'
'-x,-y,-z'
'-x,-y,z'
'x,y,-z'
'x+1/2,-y+1/2,-z'
'-x+1/2,y+1/2,z'
'-x+1/2,y+1/2,-z'
'x+1/2,-y+1/2,z'
loop_
_atom_site_label
_atom_site_type_symbol
_atom_site_fract_x
_atom_site_fract_y
_atom_site_fract_z
_atom_site_occupancy
Sr1 Sr 0.000 0.000 0.000 1
Sr2 Sr 0.026 0.412 0.000 1
Sr3 Sr 0.227 0.243 0.000 1
In1 In 0.174 0.120 0.500 1
Bi1 Bi 0.007 0.688 0.500 1
Bi2 Bi 0.049 0.864 0.000 1
Bi3 Bi 0.199 0.500 0.500 1
# DOS at the Fermi energy in states/eV/f.u.: 2.6
# E_form in eV per atom: -0.78



# TaInBiTe2 | Alexandria via LeMat-Bulk | meta-GGA SCAN | PBEsol geometry
data_TaInBiTe2
_space_group_name_H-M_alt 'P 4/m m m'
_space_group_IT_number 123
_space_group_name_Hall '-P 4 2'
_cell_length_a 5.358
_cell_length_b 5.358
_cell_length_c 5.545
_cell_angle_alpha 90.00
_cell_angle_beta 90.00
_cell_angle_gamma 90.00
loop_
_atom_site_label
_atom_site_type_symbol
_atom_site_fract_x
_atom_site_fract_y
_atom_site_fract_z
_atom_site_occupancy
Ta1 Ta 0.000 0.000 0.000 1
In1 In 0.500 0.500 0.500 1
Bi1 Bi 0.000 0.000 0.500 1
Te1 Te 0.000 0.500 0.000 1
# E_tot in eV/atom: -50.34
# DOS at the Fermi energy in states/eV/f.u.: 3.3



# InBi3Te4 | Alexandria via LeMat-Bulk | meta-GGA SCAN | PBEsol geometry
data_InBi3Te4
_space_group_name_H-M_alt 'P 1 m 1'
_space_group_IT_number 6
_cell_length_a 7.548
_cell_length_b 4.366
_cell_length_c 23.693
_cell_angle_alpha 90.00
_cell_angle_beta 90.16
_cell_angle_gamma 90.00
loop_
_space_group_symop_operation_xyz
'x,y,z'
'x,-y,z'
loop_
_atom_site_label
_atom_site_type_symbol
_atom_site_fract_x
_atom_site_fract_y
_atom_site_fract_z
_atom_site_occupancy
In1 In 0.000 0.000 0.000 1
In2 In 0.002 0.000 0.241 1
In3 In 0.500 0.500 0.240 1
Bi1 Bi 0.168 0.500 0.830 1
Bi2 Bi 0.169 0.500 0.582 1
Bi3 Bi 0.335 0.000 0.406 1
Bi4 Bi 0.337 0.000 0.654 1
Bi5 Bi 0.501 0.500 0.998 1
Bi6 Bi 0.669 0.000 0.833 1
Bi7 Bi 0.670 0.000 0.582 1
Bi8 Bi 0.835 0.500 0.405 1
Bi9 Bi 0.835 0.500 0.654 1
Te1 Te 0.000 0.000 0.755 1
Te2 Te 0.002 0.000 0.480 1
Te3 Te 0.162 0.500 0.065 1
Te4 Te 0.168 0.500 0.321 1
Te5 Te 0.328 0.000 0.913 1
Te6 Te 0.334 0.000 0.179 1
Te7 Te 0.502 0.500 0.480 1
Te8 Te 0.506 0.500 0.757 1
Te9 Te 0.667 0.000 0.321 1
Te10 Te 0.674 0.000 0.069 1
Te11 Te 0.835 0.500 0.180 1
Te12 Te 0.847 0.500 0.916 1
# E_tot in eV/atom: -52.43
# DOS at the Fermi energy in states/eV/f.u.: 1.2



# In2BiTe2 | Alexandria via LeMat-Bulk | meta-GGA SCAN | PBEsol geometry
data_In2BiTe2
_space_group_name_H-M_alt 'I 4/m m m'
_space_group_IT_number 139
_space_group_name_Hall '-I 4 2'
_cell_length_a 4.101
_cell_length_b 4.101
_cell_length_c 17.400
_cell_angle_alpha 90.00
_cell_angle_beta 90.00
_cell_angle_gamma 90.00
loop_
_atom_site_label
_atom_site_type_symbol
_atom_site_fract_x
_atom_site_fract_y
_atom_site_fract_z
_atom_site_occupancy
In1 In 0.000 0.500 0.250 1
Bi1 Bi 0.000 0.000 0.000 1
Te1 Te 0.000 0.000 0.401 1
# E_tot in eV/atom: -43.88
# DOS at the Fermi energy in states/eV/f.u.: 1.9



# In2BiTe | Alexandria via LeMat-Bulk | meta-GGA SCAN | PBEsol geometry
data_In2BiTe
_space_group_name_H-M_alt 'F m -3 m'
_space_group_IT_number 225
_space_group_name_Hall '-F 4 2 3'
_cell_length_a 7.620
_cell_length_b 7.620
_cell_length_c 7.620
_cell_angle_alpha 90.00
_cell_angle_beta 90.00
_cell_angle_gamma 90.00
loop_
_atom_site_label
_atom_site_type_symbol
_atom_site_fract_x
_atom_site_fract_y
_atom_site_fract_z
_atom_site_occupancy
In1 In 0.250 0.250 0.250 1
Bi1 Bi 0.000 0.000 0.000 1
Te1 Te 0.000 0.000 0.500 1
# E_tot in eV/atom: -45.57
# DOS at the Fermi energy in states/eV/f.u.: 2.3



# TlInBi2 | Alexandria via LeMat-Bulk | meta-GGA SCAN | PBEsol geometry
data_TlInBi2
_space_group_name_H-M_alt 'F m -3 m'
_space_group_IT_number 225
_space_group_name_Hall '-F 4 2 3'
_cell_length_a 7.714
_cell_length_b 7.714
_cell_length_c 7.714
_cell_angle_alpha 90.00
_cell_angle_beta 90.00
_cell_angle_gamma 90.00
loop_
_atom_site_label
_atom_site_type_symbol
_atom_site_fract_x
_atom_site_fract_y
_atom_site_fract_z
_atom_site_occupancy
Tl1 Tl 0.000 0.000 0.000 1
In1 In 0.000 0.000 0.500 1
Bi1 Bi 0.250 0.250 0.250 1
# DOS at the Fermi energy in states/eV/f.u.: 2.1
# E_form in eV per atom: 0.12



# TlIn2Bi | Alexandria via LeMat-Bulk | meta-GGA SCAN | PBEsol geometry
data_TlIn2Bi
_space_group_name_H-M_alt 'F m -3 m'
_space_group_IT_number 225
_space_group_name_Hall '-F 4 2 3'
_cell_length_a 7.625
_cell_length_b 7.625
_cell_length_c 7.625
_cell_angle_alpha 90.00
_cell_angle_beta 90.00
_cell_angle_gamma 90.00
loop_
_atom_site_label
_atom_site_type_symbol
_atom_site_fract_x
_atom_site_fract_y
_atom_site_fract_z
_atom_site_occupancy
Tl1 Tl 0.000 0.000 0.000 1
In1 In 0.250 0.250 0.250 1
Bi1 Bi 0.000 0.000 0.500 1
# DOS at the Fermi energy in states/eV/f.u.: 2.4
# E_form in eV per atom: 0.07



# Tl2In2Bi | Alexandria via LeMat-Bulk | meta-GGA SCAN | PBEsol geometry
data_Tl2In2Bi
_space_group_name_H-M_alt 'I 4/m m m'
_space_group_IT_number 139
_space_group_name_Hall '-I 4 2'
_cell_length_a 4.133
_cell_length_b 4.133
_cell_length_c 17.117
_cell_angle_alpha 90.00
_cell_angle_beta 90.00
_cell_angle_gamma 90.00
loop_
_atom_site_label
_atom_site_type_symbol
_atom_site_fract_x
_atom_site_fract_y
_atom_site_fract_z
_atom_site_occupancy
Tl1 Tl 0.000 0.000 0.096 1
In1 In 0.000 0.500 0.250 1
Bi1 Bi 0.000 0.000 0.500 1
# DOS at the Fermi energy in states/eV/f.u.: 2.6
# Energy above the lowest structure with this stoichiometry in meV per atom: 80.3
# E_form in eV per atom: 0.13



Q: What is the DOS at the Fermi energy in the tenth record?
A: 2.1 states/eV/f.u.